Entry 1:
Material: Ce2PrSn
Method: DFT, GGA-PBE
State: optimized geometry Values from VASP.

Cell and atoms, written as Quantum ESPRESSO input:
```
&SYSTEM
  ibrav = 0, nat = 4, ntyp = 3
/
ATOMIC_SPECIES
Ce 140.12 Ce.upf
Pr 140.91 Pr.upf
Sn 118.71 Sn.upf
CELL_PARAMETERS angstrom
4.772 0.000 0.000
0.000 4.772 0.000
0.000 0.000 5.038
ATOMIC_POSITIONS angstrom
Ce 0.000 2.386 0.000
Ce 2.386 0.000 0.000
Pr 0.000 0.000 2.519
Sn 2.386 2.386 2.519
```

Computed properties:
As for the space group: P4/mmm. The formation energy from the elements comes out at -0.388 eV/atom. The value obtained for the energy relative to the lowest polymorph listed for this composition is 0.0258 eV/atom.


Entry 2:
Material: SiAu
Method: DFT, GGA-PBE
State: optimized geometry Values from VASP.

Cell and atoms, written as Quantum ESPRESSO input:
```
&SYSTEM
  ibrav = 0, nat = 8, ntyp = 2
/
ATOMIC_SPECIES
Si 28.09 Si.upf
Au 196.97 Au.upf
CELL_PARAMETERS angstrom
3.356 0.000 0.000
0.000 5.031 0.000
0.000 0.000 8.124
ATOMIC_POSITIONS angstrom
Si 0.000 1.258 1.097
Si 0.000 3.773 7.027
Si 1.678 1.258 2.965
Si 1.678 3.773 5.158
Au 0.000 1.258 4.927
Au 0.000 3.773 3.197
Au 1.678 1.258 7.258
Au 1.678 3.773 0.865
```

Computed properties:
As for the space group: Imma. For the uncorrected formation energy, the calculation gives 0.26 eV per atom.


Entry 3:
Material: Pr8MgIn6
Method: DFT, GGA-PBE
State: optimized geometry Values from VASP.

Cell and atoms, written as Quantum ESPRESSO input:
```
&SYSTEM
  ibrav = 0, nat = 15, ntyp = 3
/
ATOMIC_SPECIES
Pr 140.91 Pr.upf
Mg 24.30 Mg.upf
In 114.82 In.upf
CELL_PARAMETERS angstrom
4.640 2.679 6.653
-4.640 2.679 6.653
0.000 -5.358 6.653
ATOMIC_POSITIONS angstrom
Pr -1.449 -2.573 7.716
Pr 0.000 0.000 3.269
Pr -2.953 -0.031 12.242
Pr -1.504 2.542 7.716
Pr 1.504 -2.542 12.242
Pr 2.953 0.031 7.716
Pr 0.000 0.000 16.689
Pr 1.449 2.573 12.242
Mg 0.000 0.000 9.979
In -3.024 -0.026 8.924
In -1.489 -2.632 11.034
In 1.535 -2.606 8.924
In -1.535 2.606 11.034
In 1.489 2.632 8.924
In 3.024 0.026 11.034
```

Computed properties:
As for the space group: R-3. The formation energy from the elements comes out at -0.232 eV/atom.


Entry 4:
Material: LaPuNO
Method: DFT, GGA-PBE
State: optimized geometry Values from VASP.

Cell and atoms, written as Quantum ESPRESSO input:
```
&SYSTEM
  ibrav = 0, nat = 4, ntyp = 4
/
ATOMIC_SPECIES
La 138.91 La.upf
Pu 244.00 Pu.upf
N 14.01 N.upf
O 16.00 O.upf
CELL_PARAMETERS angstrom
3.560 0.000 0.000
0.000 3.560 0.000
0.000 0.000 5.182
ATOMIC_POSITIONS angstrom
La 0.000 0.000 0.000
Pu 1.780 1.780 2.591
N 0.000 0.000 2.591
O 1.780 1.780 0.000
```

Computed properties:
As for the space group: P4/mmm. For the uncorrected formation energy, the calculation gives -2.01 eV per atom.


Results for M_tot: 1.8, 0.0, 0.0, 5.2 (in Bohr magnetons per cell, following the order of the records).
Results for density of states at the Fermi level: 10.5, 1.8, 18.8, 6.1 (in states/eV/cell, following the order of the records).